DFT (PBE) results for RbPPdS2 after structural relaxation.

Cell lengths 5.973, 5.973, 6.329 Å; angles 90.00, 90.00, 90.00 degrees
Site moments in Bohr magnetons follow the coordinates.
Fractional coordinates of all 5 atoms:
1 Rb 0.000 0.000 0.000  0.08
2 Pd 0.500 0.500 0.500  0.56
3 P 0.000 0.000 0.500  1.12
4 S 0.500 0.000 0.000  0.81
5 S 0.000 0.500 0.000  0.81

Results
The value obtained for the volume is 226 Å³ per cell. The calculation puts the uncorrected formation energy at 1.802 eV/atom. The value obtained for the uncorrected energy is -10.814 eV per cell.